Entry 1:
Computed, not measured: Er2Mn16Re after structural relaxation at the PBE level of DFT.

Computed properties:
E = -8.87 eV per atom
Space-group type = R3m (160)
Calculated formation energy = -0.012 eV/atom

a = 6.339 Å, b = 6.339 Å, c = 6.339 Å
α = 86.02°, β = 86.02°, γ = 86.02°
Atoms (fractional coordinates):
Mn1 0.875 0.360 0.360
Er1 0.646 0.646 0.646
Mn2 0.998 0.721 0.277
Re1 0.100 0.100 0.100
Mn3 0.277 0.998 0.721
Mn4 0.124 0.644 0.644
Mn5 0.277 0.721 0.998
Mn6 0.644 0.124 0.644
Mn7 0.896 0.896 0.896
Mn8 0.500 0.001 0.001
Mn9 0.998 0.277 0.721
Mn10 0.644 0.644 0.124
Er2 0.357 0.357 0.357
Mn11 0.001 0.500 0.001
Mn12 0.721 0.998 0.277
Mn13 0.001 0.001 0.500
Mn14 0.721 0.277 0.998
Mn15 0.360 0.360 0.875
Mn16 0.360 0.875 0.360



Entry 2:
Computed, not measured: LiNiRh2 after structural relaxation at the PBE level of DFT.

Computed properties:
E above lowest polymorph = 29 meV/atom
E = -5.63 eV per atom
Space-group type = Cmmm (65)
Calculated formation energy = -0.034 eV/atom

a = 4.525 Å, b = 4.525 Å, c = 2.624 Å
α = 90.00°, β = 90.00°, γ = 108.37°
Atoms (fractional coordinates):
Rh1 0.500 0.500 0.000
Ni1 0.000 0.500 0.500
Rh2 0.000 0.000 0.000
Li1 0.500 0.000 0.500



Entry 3:
Computed, not measured: PmYTm2 after structural relaxation at the PBE level of DFT.

Computed properties:
E above lowest polymorph = 15 meV/atom
E = -5.01 eV per atom
Space-group type = P4/mmm (123)
Calculated formation energy = 0.028 eV/atom

a = 3.556 Å, b = 3.556 Å, c = 10.026 Å
α = 90.00°, β = 90.00°, γ = 90.00°
Atoms (fractional coordinates):
Tm1 0.000 0.000 0.251
Y1 0.500 0.500 0.500
Tm2 0.000 0.000 0.749
Pm1 0.500 0.500 0.000



Entry 4:
Computed, not measured: Pm2In2Te7 after structural relaxation at the PBE level of DFT.

Computed properties:
Raw formation energy = -0.636 eV/atom
E = -4.00 eV per atom
Space-group type = C2/m (12)

a = 7.718 Å, b = 8.173 Å, c = 8.173 Å
α = 110.01°, β = 102.46°, γ = 102.46°
Atoms (fractional coordinates):
Te1 0.252 0.890 0.516
Te2 0.252 0.516 0.890
Te3 0.724 0.660 0.660
Te4 0.276 0.340 0.340
Pm1 0.500 0.699 0.301
Te5 0.748 0.484 0.110
In1 0.124 0.740 0.740
Te6 0.748 0.110 0.484
In2 0.876 0.260 0.260
Te7 0.000 0.000 0.000
Pm2 0.500 0.301 0.699



Entry 5:
Computed, not measured: ScTaNiIr after structural relaxation at the PBE level of DFT.

Computed properties:
E = -8.72 eV per atom
Space-group type = F-43m (216)
Calculated formation energy = -0.512 eV/atom

a = 4.489 Å, b = 4.489 Å, c = 4.489 Å
α = 60.00°, β = 60.00°, γ = 60.00°
Atoms (fractional coordinates):
Ir1 0.250 0.250 0.250
Ni1 0.750 0.750 0.750
Ta1 0.000 0.000 0.000
Sc1 0.500 0.500 0.500



Entry 6:
Computed, not measured: PaTi2In after structural relaxation at the PBE level of DFT.

Computed properties:
E above lowest polymorph = 58 meV/atom
E = -7.01 eV per atom
Space-group type = Fm-3m (225)
Calculated formation energy = -0.001 eV/atom

a = 4.824 Å, b = 4.824 Å, c = 4.824 Å
α = 60.00°, β = 60.00°, γ = 60.00°
Atoms (fractional coordinates):
In1 0.000 0.000 0.000
Ti1 0.750 0.750 0.750
Ti2 0.250 0.250 0.250
Pa1 0.500 0.500 0.500